A relaxed NiGe3I crystal. Source: the Alexandria database, functional PBE.

Output
The space group is Pm-3m (221). For the raw total energy, the calculation gives -20.022 eV per cell.

abc: 4.771 4.771 4.771
angles: 90.00 90.00 90.00
Sites, in units of the cell vectors:
Ni  0.000  0.000  0.000
Ge  0.000  0.000  0.500
Ge  0.000  0.500  0.000
Ge  0.500  0.000  0.000
I  0.500  0.500  0.500